Entry 1:
This record from Alexandria describes a PBEsol-optimized structure of ScAl2Tc. The functional is SCAN.

## Properties
Offset from the most stable computed form   106 meV per atom

Cell lengths 5.0697, 5.0697, 4.3746 Å; angles 113.89, 113.89, 38.92 degrees
Last column: nearest neighbours and their distance in Å.
Sites, in units of the cell vectors:
Sc (0.0000, 0.0000, 0.0000)  3 Tc 2.71-2.98, 8 Al 2.76-2.99
Al (0.5199, 0.5199, 0.5152)  2 Tc 2.64, 4 Sc 2.76-2.78, 3 Al 2.76-2.93
Al (0.7670, 0.7670, 0.2870)  4 Tc 2.75-2.78, 3 Al 2.76-2.93, 4 Sc 2.86-2.99
Tc (0.2545, 0.2545, 0.7784)  6 Al 2.64-2.78, 2 Sc 2.71


Entry 2:
This record from Alexandria describes a PBEsol-optimized structure of TlCo2Ni. The functional is SCAN.

## Properties
Offset from the most stable computed form   23 meV per atom

Cell lengths 2.9757, 2.9757, 5.9368 Å; angles 90.00, 90.00, 90.00 degrees
Last column: nearest neighbours and their distance in Å.
Sites, in units of the cell vectors:
Tl (0.0000, 0.0000, 0.0000)  8 Co 2.74, 2 Ni 2.97, 4 Tl 2.98
Co (0.5000, 0.5000, 0.2963)  1 Co 2.42, 4 Ni 2.43
Co (0.5000, 0.5000, 0.7037)  1 Co 2.42, 4 Ni 2.43
Ni (0.0000, 0.0000, 0.5000)  8 Co 2.43


Entry 3:
This record from Alexandria describes a PBEsol-optimized structure of ZrTeAsN2. The functional is SCAN.

## Properties
Formation energy from raw total energies   460 meV/atom

Cell lengths 4.1000, 4.1000, 5.9812 Å; angles 90.00, 90.00, 90.00 degrees
Last column: nearest neighbours and their distance in Å.
Sites, in units of the cell vectors:
Zr (0.0000, 0.0000, 0.0000)  4 N 2.05
Te (0.0000, 0.0000, 0.5000)  4 As 2.90, 2 Zr 2.99
As (0.5000, 0.5000, 0.5000)  4 Te 2.90
N (0.0000, 0.5000, 0.0000)  2 Zr 2.05
N (0.5000, 0.0000, 0.0000)  2 Zr 2.05


Entry 4:
This record from Alexandria describes a PBEsol-optimized structure of Cd2HgPb. The functional is SCAN.

## Properties
Offset from the most stable computed form   18 meV per atom

Cell lengths 3.6535, 3.6535, 7.1714 Å; angles 90.00, 90.00, 90.00 degrees
Last column: nearest neighbours and their distance in Å.
Sites, in units of the cell vectors:
Cd (0.0000, 0.0000, 0.0000)  4 Cd 3.04, 1 Hg 3.21, 4 Pb 3.26
Cd (0.5000, 0.5000, 0.2228)  4 Cd 3.04, 4 Hg 3.04
Hg (0.0000, 0.0000, 0.4473)  5 Cd 3.04-3.21, 4 Pb 3.25
Pb (0.5000, 0.5000, 0.7228)  4 Hg 3.25, 6 Cd 3.26-3.59


Entry 5:
This record from Alexandria describes a PBEsol-optimized structure of FeAsS3. The functional is SCAN.

## Properties
Formation energy from raw total energies   480 meV/atom

Cell lengths 4.3570, 4.3570, 4.3570 Å; angles 90.00, 90.00, 90.00 degrees
Last column: nearest neighbours and their distance in Å.
Sites, in units of the cell vectors:
Fe (0.0000, 0.0000, 0.0000)  6 S 2.18
As (0.5000, 0.5000, 0.5000)  12 S 3.08
S (0.0000, 0.0000, 0.5000)  2 Fe 2.18
S (0.0000, 0.5000, 0.0000)  2 Fe 2.18
S (0.5000, 0.0000, 0.0000)  2 Fe 2.18


Entry 6:
This record from Alexandria describes a PBEsol-optimized structure of Ba2Au. The functional is SCAN.

Cell lengths 7.6506, 7.6506, 7.8189 Å; angles 90.00, 90.00, 147.68 degrees
Last column: nearest neighbours and their distance in Å.
Sites, in units of the cell vectors:
Ba (0.0147, 0.9853, 0.5000)  4 Au 3.33-3.38
Ba (0.2746, 0.7254, 0.3330)  3 Au 3.30-3.44
Ba (0.7254, 0.2746, 0.8330)  3 Au 3.30-3.44
Ba (0.9853, 0.0147, 0.0000)  4 Au 3.33-3.38
Au (0.3861, 0.6139, 0.7206)  7 Ba 3.30-3.44
Au (0.6139, 0.3861, 0.2206)  7 Ba 3.30-3.44


Entry 7:
This record from Alexandria describes a PBEsol-optimized structure of Zn2TeBr. The functional is SCAN.

## Properties
Formation energy from raw total energies   102 meV/atom
Offset from the most stable computed form   243 meV per atom

Cell lengths 4.9333, 4.9333, 4.9333 Å; angles 60.00, 60.00, 60.00 degrees
Last column: nearest neighbours and their distance in Å.
Sites, in units of the cell vectors:
Zn (0.2500, 0.2500, 0.2500)  4 Br 3.02, 4 Te 3.02
Zn (0.7500, 0.7500, 0.7500)  4 Br 3.02, 4 Te 3.02
Te (0.0000, 0.0000, 0.0000)  8 Zn 3.02
Br (0.5000, 0.5000, 0.5000)  8 Zn 3.02


Entry 8:
This record from Alexandria describes a PBEsol-optimized structure of SrSb2As. The functional is SCAN.

## Properties
Formation energy from raw total energies   -488 meV/atom

Cell lengths 6.1350, 6.1350, 6.1350 Å; angles 143.39, 130.01, 63.54 degrees
Last column: nearest neighbours and their distance in Å.
Sites, in units of the cell vectors:
Sr (0.0000, 0.0000, 0.0000)  4 As 3.23, 8 Sb 3.44-3.53
Sb (0.2837, 0.7837, 0.5000)  2 As 2.97, 4 Sb 3.31
Sb (0.7163, 0.2163, 0.5000)  2 As 2.97, 4 Sb 3.31
As (0.5000, 0.5000, 0.0000)  4 Sb 2.97, 4 Sr 3.23


Entry 9:
This record from Alexandria describes a PBEsol-optimized structure of CeFe4B4. The functional is SCAN.

Cell lengths 6.9090, 6.9090, 3.7710 Å; angles 90.00, 90.00, 90.00 degrees
Last column: nearest neighbours and their distance in Å.
Sites, in units of the cell vectors:
Ce (0.2500, 0.2500, 0.2500)  8 B 2.74-2.78, 8 Fe 2.83-3.07
Ce (0.7500, 0.7500, 0.7500)  8 B 2.74-2.78, 8 Fe 2.83-3.07
Fe (0.1203, 0.6347, 0.1475)  4 B 1.99-2.05
Fe (0.1347, 0.8797, 0.6475)  4 B 1.99-2.05
Fe (0.3653, 0.6203, 0.6475)  4 B 1.99-2.05
Fe (0.3797, 0.8653, 0.1475)  4 B 1.99-2.05
Fe (0.6203, 0.1347, 0.8525)  4 B 1.99-2.05
Fe (0.6347, 0.3797, 0.3525)  4 B 1.99-2.05
Fe (0.8653, 0.1203, 0.3525)  4 B 1.99-2.05
Fe (0.8797, 0.3653, 0.8525)  4 B 1.99-2.05
B (0.0465, 0.9138, 0.1476)  1 B 1.75
B (0.0862, 0.5465, 0.6476)  1 B 1.75
B (0.4138, 0.9535, 0.6476)  1 B 1.75
B (0.4535, 0.5862, 0.1476)  1 B 1.75
B (0.5465, 0.4138, 0.8524)  1 B 1.75
B (0.5862, 0.0465, 0.3524)  1 B 1.75
B (0.9138, 0.4535, 0.3524)  1 B 1.75
B (0.9535, 0.0862, 0.8524)  1 B 1.75


Entry 10:
This record from Alexandria describes a PBEsol-optimized structure of K2EuAgCl6. The functional is SCAN.

## Properties
Formation energy from raw total energies   -1821 meV/atom

Cell lengths 7.4339, 7.4339, 7.4339 Å; angles 60.00, 60.00, 60.00 degrees
Last column: nearest neighbours and their distance in Å.
Sites, in units of the cell vectors:
K (0.2500, 0.2500, 0.2500)  12 Cl 3.72
K (0.7500, 0.7500, 0.7500)  12 Cl 3.72
Eu (0.0000, 0.0000, 0.0000)  6 Cl 2.67
Ag (0.5000, 0.5000, 0.5000)  6 Cl 2.59
Cl (0.2537, 0.2537, 0.7463)  1 Ag 2.59, 1 Eu 2.67
Cl (0.2537, 0.7463, 0.2537)  1 Ag 2.59, 1 Eu 2.67
Cl (0.2537, 0.7463, 0.7463)  1 Ag 2.59, 1 Eu 2.67
Cl (0.7463, 0.2537, 0.2537)  1 Ag 2.59, 1 Eu 2.67
Cl (0.7463, 0.2537, 0.7463)  1 Ag 2.59, 1 Eu 2.67
Cl (0.7463, 0.7463, 0.2537)  1 Ag 2.59, 1 Eu 2.67


Entry 11:
This record from Alexandria describes a PBEsol-optimized structure of Lu2TeO6. The functional is SCAN.

## Properties
Formation energy from raw total energies   -2861 meV/atom
Offset from the most stable computed form   4 meV per atom

Cell lengths 5.1401, 8.8705, 9.7282 Å; angles 90.00, 90.00, 90.00 degrees
Last column: nearest neighbours and their distance in Å.
Sites, in units of the cell vectors:
Lu (0.0169, 0.1032, 0.4645)  6 O 2.16-2.34
Lu (0.0424, 0.2176, 0.8677)  7 O 2.17-2.40
Lu (0.4576, 0.7824, 0.3677)  7 O 2.17-2.40
Lu (0.4831, 0.8968, 0.9645)  6 O 2.16-2.34
Lu (0.5169, 0.3968, 0.5355)  6 O 2.16-2.34
Lu (0.5424, 0.2824, 0.1323)  7 O 2.17-2.40
Lu (0.9576, 0.7176, 0.6323)  7 O 2.17-2.40
Lu (0.9831, 0.6032, 0.0355)  6 O 2.16-2.34
Te (0.0374, 0.4944, 0.3493)  6 O 1.90-1.97
Te (0.4626, 0.5056, 0.8493)  6 O 1.90-1.97
Te (0.5374, 0.0056, 0.6507)  6 O 1.90-1.97
Te (0.9626, 0.9944, 0.1507)  6 O 1.90-1.97
O (0.0922, 0.8414, 0.0284)  1 Te 1.92
O (0.1716, 0.6424, 0.8199)  1 Te 1.95
O (0.1719, 0.9499, 0.3066)  1 Te 1.90
O (0.1916, 0.6447, 0.2343)  1 Te 1.91
O (0.2405, 0.1158, 0.0697)  1 Te 1.95
O (0.2439, 0.5873, 0.4968)  1 Te 1.97
O (0.2561, 0.4127, 0.9968)  1 Te 1.97
O (0.2595, 0.8842, 0.5697)  1 Te 1.95
O (0.3084, 0.3553, 0.7343)  1 Te 1.91
O (0.3281, 0.0501, 0.8066)  1 Te 1.90
O (0.3284, 0.3576, 0.3199)  1 Te 1.95
O (0.4078, 0.1586, 0.5284)  1 Te 1.92
O (0.5922, 0.6586, 0.9716)  1 Te 1.92
O (0.6719, 0.5501, 0.6934)  1 Te 1.90
O (0.6716, 0.8576, 0.1801)  1 Te 1.95
O (0.6916, 0.8553, 0.7657)  1 Te 1.91
O (0.7405, 0.3842, 0.9303)  1 Te 1.95
O (0.7439, 0.9127, 0.5032)  1 Te 1.97
O (0.7561, 0.0873, 0.0032)  1 Te 1.97
O (0.7595, 0.6158, 0.4303)  1 Te 1.95
O (0.8084, 0.1447, 0.2657)  1 Te 1.91
O (0.8284, 0.1424, 0.6801)  1 Te 1.95
O (0.8281, 0.4499, 0.1934)  1 Te 1.90
O (0.9078, 0.3414, 0.4716)  1 Te 1.92


Entry 12:
This record from Alexandria describes a PBEsol-optimized structure of KY2TiMo. The functional is SCAN.

Cell lengths 5.0603, 5.0603, 4.3810 Å; angles 90.00, 90.00, 90.00 degrees
Last column: nearest neighbours and their distance in Å.
Sites, in units of the cell vectors:
K (0.0000, 0.0000, 0.0000)  2 Ti 2.19
Y (0.0000, 0.5000, 0.0000)  2 K 2.53
Y (0.5000, 0.0000, 0.0000)  2 K 2.53
Ti (0.0000, 0.0000, 0.5000)  2 K 2.19
Mo (0.5000, 0.5000, 0.5000)  8 Y 3.35, 4 Ti 3.58


Entry 13:
This record from Alexandria describes a PBEsol-optimized structure of Mn4Ru. The functional is SCAN.

Cell lengths 4.6807, 4.6807, 4.6807 Å; angles 109.47, 109.47, 109.47 degrees
Last column: nearest neighbours and their distance in Å.
Sites, in units of the cell vectors:
Mn (0.0000, 0.0000, 0.5000)  2 Ru 2.34
Mn (0.0000, 0.5000, 0.0000)  2 Ru 2.34
Mn (0.5000, 0.0000, 0.0000)  2 Ru 2.34
Mn (0.5000, 0.5000, 0.5000)  2 Ru 2.34
Ru (0.0000, 0.0000, 0.0000)  8 Mn 2.34


Entry 14:
This record from Alexandria describes a PBEsol-optimized structure of LaSc2Cd. The functional is SCAN.

Cell lengths 6.2524, 6.2524, 6.2524 Å; angles 147.09, 128.62, 62.38 degrees
Last column: nearest neighbours and their distance in Å.
Sites, in units of the cell vectors:
La (0.0000, 0.0000, 0.0000)  4 Cd 3.24, 4 Sc 3.43, 2 La 3.54
Sc (0.2744, 0.7744, 0.5000)  2 Cd 2.99, 4 Sc 3.28
Sc (0.7256, 0.2256, 0.5000)  2 Cd 2.99, 4 Sc 3.28
Cd (0.5000, 0.5000, 0.0000)  4 Sc 2.99, 4 La 3.24


Entry 15:
This record from Alexandria describes a PBEsol-optimized structure of SrHgOs2. The functional is SCAN.

Cell lengths 2.7969, 4.5078, 6.3439 Å; angles 90.00, 90.00, 90.00 degrees
Last column: nearest neighbours and their distance in Å.
Sites, in units of the cell vectors:
Sr (0.0000, 0.0000, 0.0000)  2 Sr 2.80
Hg (0.0000, 0.0000, 0.5000)  2 Hg 2.80, 8 Os 2.91
Os (0.5000, 0.5000, 0.3120)  1 Os 2.38
Os (0.5000, 0.5000, 0.6880)  1 Os 2.38


Entry 16:
This record from Alexandria describes a PBEsol-optimized structure of Sr2Ni2As. The functional is SCAN.

Cell lengths 9.2397, 9.2397, 9.2397 Å; angles 158.34, 158.34, 30.83 degrees
Last column: nearest neighbours and their distance in Å.
Sites, in units of the cell vectors:
Sr (0.1118, 0.1118, 0.0000)  4 Ni 3.01, 4 As 3.16
Sr (0.8882, 0.8882, 0.0000)  4 Ni 3.01, 4 As 3.16
Ni (0.2500, 0.7500, 0.5000)  4 Ni 2.46
Ni (0.7500, 0.2500, 0.5000)  4 Ni 2.46
As (0.5000, 0.5000, 0.0000)  8 Sr 3.16, 4 As 3.47


Entry 17:
This record from Alexandria describes a PBEsol-optimized structure of CrIrIO2. The functional is SCAN.

## Properties
Formation energy from raw total energies   -258 meV/atom

Cell lengths 3.6278, 3.6278, 6.1128 Å; angles 90.00, 90.00, 90.00 degrees
Last column: nearest neighbours and their distance in Å.
Sites, in units of the cell vectors:
Cr (0.0000, 0.0000, 0.0000)  4 O 1.81
Ir (0.5000, 0.5000, 0.5000)  4 I 2.57
I (0.0000, 0.0000, 0.5000)  4 Ir 2.57
O (0.0000, 0.5000, 0.0000)  2 Cr 1.81
O (0.5000, 0.0000, 0.0000)  2 Cr 1.81


Entry 18:
This record from Alexandria describes a PBEsol-optimized structure of Li2LaMn. The functional is SCAN.

## Properties
Offset from the most stable computed form   63 meV per atom

Cell lengths 10.2833, 10.2833, 10.2833 Å; angles 17.83, 17.83, 17.83 degrees
Last column: nearest neighbours and their distance in Å.
Sites, in units of the cell vectors:
Li (0.0000, 0.0000, 0.0000)  9 Li 3.10-3.19
Li (0.2512, 0.2512, 0.2512)  3 Mn 2.83, 3 Li 3.10
La (0.7653, 0.7653, 0.7653)  3 Mn 3.09, 6 La 3.19
Mn (0.5136, 0.5136, 0.5136)  3 Li 2.83, 3 La 3.09


Entry 19:
This record from Alexandria describes a PBEsol-optimized structure of KNaNb3. The functional is SCAN.

Cell lengths 4.9170, 4.9170, 4.9170 Å; angles 90.00, 90.00, 90.00 degrees
Last column: nearest neighbours and their distance in Å.
Sites, in units of the cell vectors:
K (0.0000, 0.0000, 0.0000)  12 Nb 3.48
Na (0.5000, 0.5000, 0.5000)  6 Nb 2.46
Nb (0.0000, 0.5000, 0.5000)  2 Na 2.46
Nb (0.5000, 0.0000, 0.5000)  2 Na 2.46
Nb (0.5000, 0.5000, 0.0000)  2 Na 2.46


Entry 20:
This record from Alexandria describes a PBEsol-optimized structure of YSc2In. The functional is SCAN.

Cell lengths 6.1154, 6.1154, 6.1154 Å; angles 144.20, 132.68, 60.72 degrees
Last column: nearest neighbours and their distance in Å.
Sites, in units of the cell vectors:
Y (0.0000, 0.0000, 0.0000)  8 Sc 3.12-3.44, 2 In 3.15
Sc (0.4594, 0.4594, 0.0000)  2 In 2.98, 4 Y 3.12
Sc (0.7288, 0.2288, 0.5000)  4 In 3.09, 4 Sc 3.41-3.46, 4 Y 3.42-3.44
In (0.2398, 0.7398, 0.5000)  6 Sc 2.98-3.09, 2 Y 3.15


Magnetization values, unit μB per formula unit, following the record order: 0.00 4.14 1.07 0.00 2.57 0.00 0.00 0.00 0.00 5.99 0.00 2.22 14.68 0.15 0.00 1.58 1.18 4.26 0.00 0.00.
E_tot values, unit eV per cell, following the record order: -66.3 -121.2 -104.4 -204.5 -64.8 -300.2 -83.3 -118.9 -300.5 -167.8 -844.3 -105.4 -103.5 -102.5 -230.3 -98.2 -140.0 -65.3 -99.9 -91.0.